(1)
## Nb3Pd12Pt5 (PBE-GGA)

Data for crystalline Nb3Pd12Pt5 at its relaxed geometry.

Results
DFT formation energy: 9.60 eV per formula unit
Final energy: -5.656 eV per atom
DOS(E_F): 24.9 states/eV/f.u.
Spin magnetization: 0.00 Bohr magnetons per cell

POSCAR file:
```
Nb3Pd12Pt5
1.0
-7.461 7.461 7.461
7.461 -7.461 7.461
7.461 7.461 -7.461
Nb Pd Pt
12 48 20
Direct
0.125 0.250 0.375
0.125 0.375 0.750
0.250 0.375 0.125
0.250 0.875 0.625
0.375 0.125 0.250
0.375 0.750 0.125
0.625 0.250 0.875
0.625 0.875 0.750
0.750 0.125 0.375
0.750 0.625 0.875
0.875 0.625 0.250
0.875 0.750 0.625
0.067 0.231 0.140
0.067 0.336 0.927
0.073 0.640 0.409
0.073 0.933 0.664
0.091 0.731 0.664
0.091 0.860 0.427
0.140 0.067 0.231
0.140 0.573 0.909
0.164 0.231 0.591
0.164 0.433 0.573
0.231 0.140 0.067
0.231 0.591 0.164
0.269 0.336 0.909
0.269 0.433 0.360
0.336 0.909 0.269
0.336 0.927 0.067
0.360 0.269 0.433
0.360 0.591 0.927
0.409 0.073 0.640
0.409 0.836 0.769
0.427 0.091 0.860
0.427 0.836 0.567
0.433 0.360 0.269
0.433 0.573 0.164
0.567 0.427 0.836
0.567 0.640 0.731
0.573 0.164 0.433
0.573 0.909 0.140
0.591 0.164 0.231
0.591 0.927 0.360
0.640 0.409 0.073
0.640 0.731 0.567
0.664 0.073 0.933
0.664 0.091 0.731
0.731 0.567 0.640
0.731 0.664 0.091
0.769 0.409 0.836
0.769 0.860 0.933
0.836 0.567 0.427
0.836 0.769 0.409
0.860 0.427 0.091
0.860 0.933 0.769
0.909 0.140 0.573
0.909 0.269 0.336
0.927 0.067 0.336
0.927 0.360 0.591
0.933 0.664 0.073
0.933 0.769 0.860
0.000 0.000 0.000
0.000 0.000 0.500
0.000 0.500 0.000
0.000 0.500 0.500
0.125 0.750 0.875
0.125 0.875 0.250
0.250 0.125 0.875
0.250 0.625 0.375
0.375 0.250 0.625
0.375 0.625 0.750
0.500 0.000 0.000
0.500 0.000 0.500
0.500 0.500 0.000
0.500 0.500 0.500
0.625 0.375 0.250
0.625 0.750 0.375
0.750 0.375 0.625
0.750 0.875 0.125
0.875 0.125 0.750
0.875 0.250 0.125
```

---

(2)
## NbPd5Pt6 (PBE-GGA)

Data for crystalline NbPd5Pt6 at its relaxed geometry.

Results
DFT formation energy: -3.35 eV per formula unit
Final energy: -6.303 eV per atom
DOS(E_F): 17.1 states/eV/f.u.
Spin magnetization: 0.00 Bohr magnetons per cell

POSCAR file:
```
NbPd5Pt6
1.0
-1.976 3.999 5.927
1.976 -3.999 5.927
1.976 3.999 -5.927
Nb Pd Pt
1 5 6
Direct
0.000 0.000 0.000
0.165 0.665 0.500
0.336 0.336 0.000
0.500 0.000 0.500
0.664 0.664 0.000
0.835 0.335 0.500
0.081 0.834 0.247
0.244 0.500 0.744
0.412 0.166 0.247
0.588 0.834 0.753
0.756 0.500 0.256
0.919 0.166 0.753
```

---

(3)
## NbPd2Pt3 (PBE-GGA)

Data for crystalline NbPd2Pt3 at its relaxed geometry.

Results
DFT formation energy: -2.77 eV per formula unit
Final energy: -6.892 eV per atom
DOS(E_F): 4.0 states/eV/f.u.
Spin magnetization: 0.00 Bohr magnetons per cell

POSCAR file:
```
NbPd2Pt3
1.0
5.640 0.000 0.000
0.000 3.956 0.000
-0.054 0.000 8.463
Nb Pd Pt
2 4 6
Direct
0.130 0.250 0.254
0.870 0.750 0.746
0.125 0.250 0.919
0.376 0.750 0.412
0.624 0.250 0.588
0.875 0.750 0.081
0.120 0.250 0.586
0.368 0.750 0.752
0.369 0.750 0.091
0.631 0.250 0.909
0.632 0.250 0.248
0.880 0.750 0.414
```

---

(4)
## NbPd4Pt2 (PBE-GGA)

Data for crystalline NbPd4Pt2 at its relaxed geometry.

Results
DFT formation energy: -1.53 eV per formula unit
Final energy: -6.350 eV per atom
DOS(E_F): 5.2 states/eV/f.u.
Spin magnetization: 0.00 Bohr magnetons per cell

POSCAR file:
```
NbPd4Pt2
1.0
6.891 0.000 0.000
0.000 5.092 0.000
-3.399 0.000 6.480
Nb Pd Pt
2 8 4
Direct
0.037 0.250 0.300
0.963 0.750 0.700
0.243 0.250 0.701
0.381 0.002 0.272
0.381 0.498 0.272
0.383 0.750 0.925
0.617 0.250 0.075
0.619 0.502 0.728
0.619 0.998 0.728
0.757 0.750 0.299
0.029 0.250 0.932
0.210 0.750 0.504
0.790 0.250 0.496
0.971 0.750 0.068
```

---

(5)
## NbPd6Pt3 (PBE-GGA)

Data for crystalline NbPd6Pt3 at its relaxed geometry.

Results
DFT formation energy: -1.82 eV per formula unit
Final energy: -6.117 eV per atom
DOS(E_F): 11.5 states/eV/f.u.
Spin magnetization: 0.00 Bohr magnetons per cell

POSCAR file:
```
NbPd6Pt3
1.0
8.863 0.000 0.000
0.000 3.984 0.000
-0.096 0.000 8.879
Nb Pd Pt
2 12 6
Direct
0.062 0.250 0.379
0.938 0.750 0.621
0.051 0.750 0.899
0.139 0.250 0.689
0.151 0.750 0.201
0.239 0.750 0.500
0.348 0.250 0.303
0.449 0.750 0.099
0.551 0.250 0.901
0.652 0.750 0.697
0.761 0.250 0.500
0.849 0.250 0.799
0.861 0.750 0.311
0.949 0.250 0.101
0.252 0.250 0.995
0.349 0.750 0.797
0.450 0.250 0.601
0.550 0.750 0.399
0.651 0.250 0.203
0.748 0.750 0.005
```

---

(6)
## NbPd9Pt4 (PBE-GGA)

Data for crystalline NbPd9Pt4 at its relaxed geometry.

Results
DFT formation energy: -0.42 eV per formula unit
Final energy: -5.813 eV per atom
DOS(E_F): 11.6 states/eV/f.u.
Spin magnetization: 0.00 Bohr magnetons per cell

POSCAR file:
```
NbPd9Pt4
1.0
7.863 0.000 0.000
-3.931 6.809 0.000
0.000 0.000 8.678
Nb Pd Pt
2 18 8
Direct
0.333 0.667 0.250
0.667 0.333 0.750
0.054 0.527 0.750
0.209 0.417 0.032
0.209 0.417 0.468
0.209 0.791 0.032
0.209 0.791 0.468
0.417 0.209 0.532
0.417 0.209 0.968
0.473 0.527 0.750
0.473 0.946 0.750
0.527 0.054 0.250
0.527 0.473 0.250
0.583 0.791 0.032
0.583 0.791 0.468
0.791 0.209 0.532
0.791 0.209 0.968
0.791 0.583 0.532
0.791 0.583 0.968
0.946 0.473 0.250
0.000 0.000 0.000
0.000 0.000 0.500
0.114 0.228 0.750
0.114 0.886 0.750
0.228 0.114 0.250
0.772 0.886 0.750
0.886 0.114 0.250
0.886 0.772 0.250
```

---

(7)
## Nb2Pd3Pt (PBE-GGA)

Data for crystalline Nb2Pd3Pt at its relaxed geometry.

Results
DFT formation energy: -1.86 eV per formula unit
Final energy: -7.270 eV per atom
DOS(E_F): 5.2 states/eV/f.u.
Spin magnetization: 0.00 Bohr magnetons per cell

POSCAR file:
```
Nb2Pd3Pt
1.0
3.523 -4.041 0.000
3.523 4.041 0.000
-1.512 0.000 6.885
Nb Pd Pt
4 6 2
Direct
0.113 0.638 0.876
0.362 0.887 0.624
0.638 0.113 0.376
0.887 0.362 0.124
0.178 0.354 0.512
0.354 0.178 0.012
0.396 0.604 0.250
0.604 0.396 0.750
0.646 0.822 0.988
0.822 0.646 0.488
0.071 0.929 0.250
0.929 0.071 0.750
```

---

(8)
## NbPd3Pt2 (PBE-GGA)

Data for crystalline NbPd3Pt2 at its relaxed geometry.

Results
DFT formation energy: -1.87 eV per formula unit
Final energy: -6.599 eV per atom
DOS(E_F): 4.2 states/eV/f.u.
Spin magnetization: 0.00 Bohr magnetons per cell

POSCAR file:
```
NbPd3Pt2
1.0
3.643 -3.869 0.000
3.643 3.869 0.000
-1.252 0.000 6.814
Nb Pd Pt
2 6 4
Direct
0.088 0.912 0.750
0.912 0.088 0.250
0.164 0.327 0.995
0.327 0.164 0.495
0.421 0.579 0.750
0.579 0.421 0.250
0.673 0.836 0.505
0.836 0.673 0.005
0.119 0.642 0.381
0.358 0.881 0.119
0.642 0.119 0.881
0.881 0.358 0.619
```